No. 1
Material: SrAc5
Method: DFT, GGA-PBE
State: relaxed

## Properties
Its total energy is -3.68 eV per atom. For the energy above the most stable polymorph in this dataset, the calculation gives 0 meV/atom. For the energy relative to the elements, the calculation gives 2.7 kJ/mol of atoms.

abc: 4.0195 4.0195 17.2344
angles: 90.00 90.00 90.00
Sites, in units of the cell vectors:
1 Sr 0.5000 0.5000 0.0000
2 Ac 0.0000 0.0000 0.8221
3 Ac 0.0000 0.0000 0.1779
4 Ac 0.5000 0.5000 0.6652
5 Ac 0.5000 0.5000 0.3348
6 Ac 0.0000 0.0000 0.5000

---

No. 2
Material: LiErS2
Method: DFT, GGA-PBE
State: relaxed

## Properties
Its total energy is -5.46 eV per atom. For the uncorrected formation energy, the calculation gives -7.11 eV/f.u.

abc: 3.8843 3.8843 5.2762
angles: 90.00 90.00 90.00
Sites, in units of the cell vectors:
1 S 0.5000 0.5000 0.0000
2 S 0.0000 0.0000 0.5000
3 Li 0.5000 0.5000 0.5000
4 Er 0.0000 0.0000 0.0000

---

No. 3
Material: CeAl2Bi
Method: DFT, GGA-PBE
State: relaxed

## Properties
Its total energy is -4.65 eV per atom. For the energy relative to the elements, the calculation gives -31.3 kJ/mol of atoms.

abc: 4.6051 4.5373 4.5373
angles: 90.00 90.00 90.00
Sites, in units of the cell vectors:
1 Bi 0.5000 0.0000 0.0000
2 Ce 0.5000 0.5000 0.5000
3 Al 0.0000 0.0000 0.5000
4 Al 0.0000 0.5000 0.0000

---

No. 4
Material: Nb2AuCl
Method: DFT, GGA-PBE
State: relaxed

## Properties
Its total energy is -6.10 eV per atom. For the energy above the most stable polymorph in this dataset, the calculation gives 0 meV/atom. For the uncorrected formation energy, the calculation gives 0.87 eV/f.u.

abc: 4.6191 4.6191 4.6191
angles: 60.00 60.00 60.00
Sites, in units of the cell vectors:
1 Nb 0.2500 0.2500 0.2500
2 Nb 0.7500 0.7500 0.7500
3 Au 0.5000 0.5000 0.5000
4 Cl 0.0000 0.0000 0.0000

---

No. 5
Material: InBiP2
Method: DFT, GGA-PBE
State: relaxed

## Properties
Its total energy is -4.23 eV per atom. For the energy above the most stable polymorph in this dataset, the calculation gives 0 meV/atom. For the energy relative to the elements, the calculation gives 12.7 kJ/mol of atoms.

abc: 6.2696 6.2696 7.6042
angles: 65.65 65.65 90.00
Sites, in units of the cell vectors:
1 P 0.5944 0.1250 0.2500
2 P 0.1556 0.6250 0.2500
3 P 0.3750 0.4056 0.7500
4 P 0.8750 0.8444 0.7500
5 Bi 0.0000 0.0000 0.0000
6 Bi 0.7500 0.2500 0.5000
7 In 0.5000 0.5000 0.0000
8 In 0.2500 0.7500 0.5000

---

No. 6
Material: TbCuNi5
Method: DFT, GGA-PBE
State: relaxed

## Properties
Its total energy is -5.59 eV per atom. For the energy relative to the elements, the calculation gives -20.9 kJ/mol of atoms.

abc: 4.8250 7.8245 9.8988
angles: 90.00 90.00 90.00
Sites, in units of the cell vectors:
1 Tb 0.2500 0.2411 0.9397
2 Tb 0.7500 0.2589 0.4397
3 Tb 0.2500 0.7411 0.5603
4 Tb 0.7500 0.7589 0.0603
5 Cu 0.2500 0.8579 0.8553
6 Cu 0.7500 0.6421 0.3553
7 Cu 0.2500 0.3579 0.6447
8 Cu 0.7500 0.1421 0.1447
9 Ni 0.2500 0.6007 0.0187
10 Ni 0.7500 0.8993 0.5187
11 Ni 0.2500 0.1007 0.4813
12 Ni 0.7500 0.3993 0.9813
13 Ni 0.7500 0.3164 0.7461
14 Ni 0.2500 0.1836 0.2461
15 Ni 0.7500 0.8164 0.7539
16 Ni 0.2500 0.6836 0.2539
17 Ni 0.2500 0.9412 0.0975
18 Ni 0.7500 0.5588 0.5975
19 Ni 0.2500 0.4412 0.4025
20 Ni 0.7500 0.0588 0.9025
21 Ni 0.9951 0.4323 0.1898
22 Ni 0.0049 0.0677 0.6898
23 Ni 0.5049 0.9323 0.3102
24 Ni 0.4951 0.5677 0.8102
25 Ni 0.0049 0.5677 0.8102
26 Ni 0.9951 0.9323 0.3102
27 Ni 0.4951 0.0677 0.6898
28 Ni 0.5049 0.4323 0.1898

---

No. 7
Material: Cs2PtO3
Method: DFT, GGA-PBE
State: relaxed

## Properties
Its total energy is -4.69 eV per atom. For the energy above the most stable polymorph in this dataset, the calculation gives 0 meV/atom. For the uncorrected formation energy, the calculation gives -5.50 eV/f.u.

abc: 5.9406 5.9406 10.8688
angles: 103.74 103.74 97.52
Sites, in units of the cell vectors:
1 Cs 0.7500 0.2500 0.5000
2 Cs 0.2139 0.7861 0.0000
3 Cs 0.2500 0.7500 0.5000
4 Cs 0.7861 0.2139 0.0000
5 Pt 0.6258 0.6258 0.2516
6 Pt 0.3742 0.3742 0.7484
7 O 0.3773 0.3773 0.1605
8 O 0.2169 0.2169 0.8395
9 O 0.6227 0.6227 0.8395
10 O 0.7831 0.7831 0.1605
11 O 0.2826 0.2826 0.5652
12 O 0.7174 0.7174 0.4348

---

No. 8
Material: PrHo8Er2
Method: DFT, GGA-PBE
State: relaxed

## Properties
Its total energy is -4.45 eV per atom. For the energy above the most stable polymorph in this dataset, the calculation gives 28 meV/atom. For the energy relative to the elements, the calculation gives 14.0 kJ/mol of atoms.

abc: 5.4931 10.1559 10.1559
angles: 39.70 92.64 92.64
Sites, in units of the cell vectors:
1 Pr 0.0000 0.0000 0.0000
2 Ho 0.2677 0.1323 0.5989
3 Ho 0.2677 0.5989 0.1323
4 Ho 0.7323 0.8677 0.4011
5 Ho 0.2383 0.5473 0.5473
6 Ho 0.7323 0.4011 0.8677
7 Ho 0.2341 0.1889 0.1889
8 Ho 0.7659 0.8111 0.8111
9 Ho 0.7617 0.4527 0.4527
10 Er 0.7501 0.2844 0.2844
11 Er 0.2499 0.7156 0.7156